Density functional theory data (PBE-GGA) for crystalline InMoBr2 at its relaxed geometry.

Structure (POSCAR):
```
InMoBr2
1.0
3.676 0.000 0.000
0.000 4.208 0.000
-1.378 0.000 6.934
In Mo Br
1 1 2
Cartesian
0.000 0.000 0.000
1.149 0.000 3.467
0.482 2.104 4.970
1.816 2.104 1.965
```

Values from the calculation:
M_tot ... 3.1 μB per formula unit
Energy relative to the elements, uncorrected ... 0.309 eV/atom
Total DFT energy (no corrections) ... -3.920 eV per atom
ρ ... 5.736 g/cm³